Entry 1:
First-principles (PBE) data for K3MnNb after structural relaxation, as listed in Alexandria via LeMat-Bulk.

Lattice parameters (Å, degrees): 6.569 6.569 6.569 90.00 90.00 90.00
Each line ends with the local moment (μB).
Fractional coordinates of all 5 atoms:
Nb 0.000 0.000 0.000  -3.32
Mn 0.500 0.500 0.500  4.39
K 0.000 0.000 0.500  -0.05
K 0.000 0.500 0.000  -0.06
K 0.500 0.000 0.000  -0.06

Output
Polymorph energy (0 for the lowest one) ... 0 kJ/mol of formula units
Formation energy from the elements ... 8.2 eV/f.u.
Space group ... Pm-3m, No. 221
Size of the total moment ... 0.8 μB/f.u.

=====

Entry 2:
First-principles (PBE) data for TiGaRu after structural relaxation, as listed in Alexandria via LeMat-Bulk.

Lattice parameters (Å, degrees): 3.187 3.187 4.930 108.86 108.86 90.00
Each line ends with the local moment (μB).
Fractional coordinates of all 3 atoms:
Ru 0.954 0.954 0.907  0.19
Ti 0.609 0.609 0.218  0.39
Ga 0.287 0.287 0.574  0.02

Output
Formation energy from the elements ... -1.6 eV/f.u.
Space group ... I4mm, No. 107
Size of the total moment ... 0.7 μB/f.u.

=====

Entry 3:
First-principles (PBE) data for Ba2AsH after structural relaxation, as listed in Alexandria via LeMat-Bulk.

Lattice parameters (Å, degrees): 7.687 8.773 9.206 90.00 90.00 115.98
Fractional coordinates of all 16 atoms:
Ba 0.115 0.230 0.130
As 0.305 0.611 0.945
As 0.195 0.389 0.445
H 0.944 0.887 0.149
H 0.444 0.887 0.351
Ba 0.385 0.770 0.630
Ba 0.615 0.230 0.370
Ba 0.417 0.334 0.750
As 0.695 0.389 0.055
As 0.805 0.611 0.555
Ba 0.083 0.666 0.250
Ba 0.917 0.334 0.750
Ba 0.885 0.770 0.870
Ba 0.583 0.666 0.250
H 0.556 0.113 0.649
H 0.056 0.113 0.851

Output
Polymorph energy (0 for the lowest one) ... 19 kJ/mol of formula units
Space group ... Cmce, No. 64
Size of the total moment ... 0.0 μB/f.u.